Mn2RuAu, optimized geometry, DFT GGA-PBE; magnetization = 5.6 μB per cell; DFT total energy = -7.34 eV/atom
1.0
-1.403 -2.207 3.509
-1.633 -4.034 -0.461
2.257 -3.453 1.459
Mn Au Ru
2 1 1
direct
0.000 0.000 0.000
0.750 0.750 0.750
0.500 0.500 0.500
0.250 0.250 0.250